1.
Entry from Alexandria: a geometry-optimized PrNd3TmTh structure (PBE).

Results
E_tot, eV for the cell shown: -61.54
Calculated volume, Å³/cell: 409.2
Size of the total moment, μB/f.u.: 0.0
Space group: P2_1/m

a b c (Å): 8.152 5.147 10.280
angles (deg): 90.00 108.47 90.00
Fractional positions:
1 Pr 0.172 0.250 0.293
2 Pr 0.828 0.750 0.707
3 Nd 0.175 0.750 0.544
4 Nd 0.181 0.250 0.795
5 Nd 0.181 0.750 0.046
6 Nd 0.819 0.250 0.954
7 Nd 0.819 0.750 0.205
8 Nd 0.825 0.250 0.456
9 Tm 0.499 0.750 0.372
10 Tm 0.501 0.250 0.628
11 Th 0.500 0.250 0.122
12 Th 0.500 0.750 0.878

2.
Entry from Alexandria: a geometry-optimized PrNd4Tm2Th structure (PBE).

Results
E_tot, eV for the cell shown: -39.89
Calculated volume, Å³/cell: 270.0
Size of the total moment, μB/f.u.: 0.0
Space group: C2/m

a b c (Å): 6.294 6.294 10.233
angles (deg): 114.10 114.10 48.13
Fractional positions:
1 Pr 0.000 0.000 0.000
2 Nd 0.249 0.249 0.871
3 Nd 0.253 0.253 0.379
4 Nd 0.747 0.747 0.621
5 Nd 0.751 0.751 0.129
6 Tm 0.498 0.498 0.255
7 Tm 0.502 0.502 0.745
8 Th 0.000 0.000 0.500

3.
Entry from Alexandria: a geometry-optimized Pr5Nd2TmTh structure (PBE).

Results
E_tot, eV for the cell shown: -88.27
Calculated volume, Å³/cell: 645.7
Size of the total moment, μB/f.u.: 0.0
Space group: Cmcm

a b c (Å): 11.387 11.387 10.625
angles (deg): 90.00 90.00 152.05
Fractional positions:
1 Pr 0.000 0.000 0.000
2 Pr 0.000 0.000 0.500
3 Pr 0.129 0.871 0.750
4 Pr 0.223 0.777 0.059
5 Pr 0.223 0.777 0.441
6 Pr 0.500 0.500 0.250
7 Pr 0.500 0.500 0.750
8 Pr 0.777 0.223 0.559
9 Pr 0.777 0.223 0.941
10 Pr 0.871 0.129 0.250
11 Nd 0.387 0.613 0.501
12 Nd 0.387 0.613 0.999
13 Nd 0.613 0.387 0.001
14 Nd 0.613 0.387 0.499
15 Tm 0.102 0.898 0.250
16 Tm 0.898 0.102 0.750
17 Th 0.291 0.709 0.750
18 Th 0.709 0.291 0.250

4.
Entry from Alexandria: a geometry-optimized Pr5NdTm2Th structure (PBE).

Results
E_tot, eV for the cell shown: -87.14
Calculated volume, Å³/cell: 630.1
Size of the total moment, μB/f.u.: 0.0
Space group: Cmc2_1

a b c (Å): 10.707 10.707 10.675
angles (deg): 90.00 90.00 149.01
Fractional positions:
1 Pr 0.014 0.986 0.500
2 Pr 0.277 0.723 0.207
3 Pr 0.291 0.709 0.818
4 Pr 0.385 0.615 0.495
5 Pr 0.479 0.521 0.777
6 Pr 0.521 0.479 0.277
7 Pr 0.615 0.385 0.995
8 Pr 0.709 0.291 0.318
9 Pr 0.723 0.277 0.707
10 Pr 0.986 0.014 0.000
11 Nd 0.409 0.591 0.069
12 Nd 0.591 0.409 0.569
13 Tm 0.112 0.888 0.781
14 Tm 0.116 0.884 0.208
15 Tm 0.884 0.116 0.708
16 Tm 0.888 0.112 0.281
17 Th 0.198 0.802 0.508
18 Th 0.802 0.198 0.008

5.
Entry from Alexandria: a geometry-optimized PrNd6Tm2Th structure (PBE).

Results
E_tot, eV for the cell shown: -96.73
Calculated volume, Å³/cell: 688.2
Size of the total moment, μB/f.u.: 0.0
Space group: C2/c

a b c (Å): 8.891 8.891 9.774
angles (deg): 94.13 94.13 115.97
Fractional positions:
1 Pr 0.095 0.905 0.750
2 Pr 0.905 0.095 0.250
3 Nd 0.013 0.798 0.381
4 Nd 0.077 0.515 0.185
5 Nd 0.202 0.987 0.119
6 Nd 0.262 0.606 0.558
7 Nd 0.394 0.738 0.942
8 Nd 0.485 0.923 0.315
9 Nd 0.515 0.077 0.685
10 Nd 0.606 0.262 0.058
11 Nd 0.738 0.394 0.442
12 Nd 0.798 0.013 0.881
13 Nd 0.923 0.485 0.815
14 Nd 0.987 0.202 0.619
15 Tm 0.212 0.303 0.948
16 Tm 0.303 0.212 0.448
17 Tm 0.697 0.788 0.552
18 Tm 0.788 0.697 0.052
19 Th 0.468 0.532 0.250
20 Th 0.532 0.468 0.750

6.
Entry from Alexandria: a geometry-optimized Pr2NdTm2Th2 structure (PBE).

Results
E_tot, eV for the cell shown: -36.30
Calculated volume, Å³/cell: 236.5
Size of the total moment, μB/f.u.: 0.0
Space group: C2/m

a b c (Å): 8.987 8.987 9.040
angles (deg): 118.39 118.39 21.73
Fractional positions:
1 Pr 0.206 0.206 0.124
2 Pr 0.794 0.794 0.876
3 Nd 0.500 0.500 0.000
4 Tm 0.350 0.350 0.573
5 Tm 0.650 0.650 0.427
6 Th 0.433 0.433 0.299
7 Th 0.567 0.567 0.701

7.
Entry from Alexandria: a geometry-optimized Pr2NdTm5Th structure (PBE).

Results
E_tot, eV for the cell shown: -83.09
Calculated volume, Å³/cell: 581.6
Size of the total moment, μB/f.u.: 0.0
Space group: I4/mcm

a b c (Å): 9.863 9.863 9.863
angles (deg): 127.79 127.79 76.96
Fractional positions:
1 Pr 0.117 0.617 0.734
2 Pr 0.383 0.117 0.500
3 Pr 0.617 0.883 0.500
4 Pr 0.883 0.383 0.266
5 Nd 0.250 0.750 0.500
6 Nd 0.750 0.250 0.500
7 Tm 0.000 0.000 0.000
8 Tm 0.073 0.147 0.500
9 Tm 0.147 0.647 0.073
10 Tm 0.353 0.427 0.500
11 Tm 0.427 0.927 0.073
12 Tm 0.500 0.500 0.000
13 Tm 0.573 0.073 0.927
14 Tm 0.647 0.573 0.500
15 Tm 0.853 0.353 0.927
16 Tm 0.927 0.853 0.500
17 Th 0.250 0.250 0.000
18 Th 0.750 0.750 0.000

8.
Entry from Alexandria: a geometry-optimized Pr2Nd5TmTh structure (PBE).

Results
E_tot, eV for the cell shown: -88.16
Calculated volume, Å³/cell: 639.4
Size of the total moment, μB/f.u.: 0.0
Space group: Cmcm

a b c (Å): 11.361 11.361 10.562
angles (deg): 90.00 90.00 152.03
Fractional positions:
1 Pr 0.113 0.887 0.503
2 Pr 0.113 0.887 0.997
3 Pr 0.887 0.113 0.003
4 Pr 0.887 0.113 0.497
5 Nd 0.001 0.999 0.250
6 Nd 0.277 0.723 0.558
7 Nd 0.277 0.723 0.942
8 Nd 0.372 0.628 0.250
9 Nd 0.500 0.500 0.000
10 Nd 0.500 0.500 0.500
11 Nd 0.628 0.372 0.750
12 Nd 0.723 0.277 0.058
13 Nd 0.723 0.277 0.442
14 Nd 0.999 0.001 0.750
15 Tm 0.397 0.603 0.750
16 Tm 0.603 0.397 0.250
17 Th 0.210 0.790 0.250
18 Th 0.790 0.210 0.750

Computed ΔH_f (0 K), in the same sequence as the records: 0.034, 0.041, 0.132, 0.162, 0.138, 0.258, 0.284, 0.134 eV per atom.